[1]
Density functional theory data (PBE-GGA) for a relaxed structure of Pr3Sm6ErTm2.

Cell: 6.272 6.272 11.968 Å, 95.02 95.02 120.02°
Sites, in units of the cell vectors:
Pr: 0.000 0.000 0.000
Pr: 0.333 0.667 0.000
Pr: 0.667 0.333 0.000
Sm: 0.085 0.418 0.256
Sm: 0.248 0.248 0.744
Sm: 0.418 0.085 0.256
Sm: 0.582 0.915 0.744
Sm: 0.752 0.752 0.256
Sm: 0.915 0.582 0.744
Er: 0.500 0.500 0.500
Tm: 0.167 0.833 0.500
Tm: 0.833 0.167 0.500

VASP energy = -4.659 eV per atom
density of states at the Fermi level = 16.55 states/eV/cell
magnetic moment = 0.000 μB per atom
SG = C2/m

***

[2]
Density functional theory data (PBE-GGA) for a relaxed structure of PrSm2Er2Tm2.

Cell: 9.004 9.004 8.372 Å, 115.98 115.98 22.38°
Sites, in units of the cell vectors:
Pr: 0.000 0.000 0.000
Sm: 0.351 0.351 0.114
Sm: 0.649 0.649 0.886
Er: 0.211 0.211 0.300
Er: 0.789 0.789 0.700
Tm: 0.429 0.429 0.591
Tm: 0.571 0.571 0.409

VASP energy = -4.458 eV per atom
density of states at the Fermi level = 11.66 states/eV/cell
magnetic moment = 0.000 μB per atom
SG = C2/m

***

[3]
Density functional theory data (PBE-GGA) for a relaxed structure of PrSm2Er4Tm.

Cell: 9.488 9.488 6.783 Å, 110.93 110.93 88.48°
Sites, in units of the cell vectors:
Pr: 0.000 0.500 0.000
Pr: 0.500 0.000 0.500
Sm: 0.000 0.000 0.000
Sm: 0.000 0.000 0.500
Sm: 0.000 0.500 0.500
Sm: 0.500 0.000 0.000
Er: 0.254 0.254 0.006
Er: 0.254 0.254 0.506
Er: 0.255 0.745 0.000
Er: 0.255 0.745 0.500
Er: 0.745 0.255 0.000
Er: 0.745 0.255 0.500
Er: 0.746 0.746 0.494
Er: 0.746 0.746 0.994
Tm: 0.500 0.500 0.000
Tm: 0.500 0.500 0.500

VASP energy = -4.191 eV per atom
density of states at the Fermi level = 37.58 states/eV/cell
magnetic moment = 0.234 μB per atom
SG = C2/c

***

[4]
Density functional theory data (PBE-GGA) for a relaxed structure of PrSm6Er2Tm3.

Cell: 6.207 6.207 11.808 Å, 95.01 95.01 119.98°
Sites, in units of the cell vectors:
Pr: 0.000 0.000 0.000
Sm: 0.085 0.419 0.253
Sm: 0.249 0.249 0.747
Sm: 0.419 0.085 0.253
Sm: 0.581 0.915 0.747
Sm: 0.751 0.751 0.253
Sm: 0.915 0.581 0.747
Er: 0.333 0.667 0.000
Er: 0.667 0.333 0.000
Tm: 0.167 0.833 0.500
Tm: 0.500 0.500 0.500
Tm: 0.833 0.167 0.500

VASP energy = -4.618 eV per atom
density of states at the Fermi level = 14.16 states/eV/cell
magnetic moment = 0.000 μB per atom
SG = C2/m

***

[5]
Density functional theory data (PBE-GGA) for a relaxed structure of PrSm4ErTm2.

Cell: 9.526 9.526 6.834 Å, 111.02 111.02 88.31°
Sites, in units of the cell vectors:
Pr: 0.000 0.500 0.000
Pr: 0.500 0.000 0.500
Sm: 0.246 0.253 0.501
Sm: 0.249 0.750 0.000
Sm: 0.250 0.751 0.500
Sm: 0.253 0.246 0.001
Sm: 0.747 0.754 0.999
Sm: 0.750 0.249 0.500
Sm: 0.751 0.250 0.000
Sm: 0.754 0.747 0.499
Er: 0.500 0.500 0.000
Er: 0.500 0.500 0.500
Tm: 0.000 0.000 0.000
Tm: 0.000 0.000 0.500
Tm: 0.000 0.500 0.500
Tm: 0.500 0.000 0.000

VASP energy = -4.243 eV per atom
density of states at the Fermi level = 38.31 states/eV/cell
magnetic moment = 0.015 μB per atom
SG = C2/c

***

[6]
Density functional theory data (PBE-GGA) for a relaxed structure of PrSm3Er6Tm2.

Cell: 6.149 6.149 11.741 Å, 95.00 95.00 119.97°
Sites, in units of the cell vectors:
Pr: 0.000 0.000 0.000
Sm: 0.167 0.833 0.500
Sm: 0.500 0.500 0.500
Sm: 0.833 0.167 0.500
Er: 0.083 0.417 0.249
Er: 0.252 0.252 0.751
Er: 0.417 0.083 0.249
Er: 0.583 0.917 0.751
Er: 0.748 0.748 0.249
Er: 0.917 0.583 0.751
Tm: 0.333 0.667 0.000
Tm: 0.667 0.333 0.000

VASP energy = -4.585 eV per atom
density of states at the Fermi level = 15.22 states/eV/cell
magnetic moment = 0.000 μB per atom
SG = C2/m

***

[7]
Density functional theory data (PBE-GGA) for a relaxed structure of PrSmEr5Tm2.

Cell: 10.258 10.258 10.511 Å, 90.00 90.00 148.45°
Sites, in units of the cell vectors:
Pr: 0.083 0.917 0.500
Pr: 0.917 0.083 0.000
Sm: 0.299 0.701 0.065
Sm: 0.701 0.299 0.565
Er: 0.023 0.977 0.787
Er: 0.110 0.890 0.075
Er: 0.201 0.799 0.762
Er: 0.219 0.781 0.363
Er: 0.483 0.517 0.078
Er: 0.517 0.483 0.578
Er: 0.781 0.219 0.863
Er: 0.799 0.201 0.262
Er: 0.890 0.110 0.575
Er: 0.977 0.023 0.287
Tm: 0.387 0.613 0.372
Tm: 0.389 0.611 0.786
Tm: 0.611 0.389 0.286
Tm: 0.613 0.387 0.872

VASP energy = -4.416 eV per atom
density of states at the Fermi level = 28.35 states/eV/cell
magnetic moment = 0.000 μB per atom
SG = Cmc2_1

***

[8]
Density functional theory data (PBE-GGA) for a relaxed structure of Pr2Sm3Er6Tm.

Cell: 6.187 6.187 11.766 Å, 95.01 95.01 119.98°
Sites, in units of the cell vectors:
Pr: 0.166 0.834 0.000
Pr: 0.834 0.166 0.000
Sm: 0.000 0.000 0.500
Sm: 0.333 0.667 0.500
Sm: 0.667 0.333 0.500
Er: 0.084 0.416 0.750
Er: 0.251 0.251 0.251
Er: 0.416 0.084 0.750
Er: 0.584 0.916 0.250
Er: 0.749 0.749 0.749
Er: 0.916 0.584 0.250
Tm: 0.500 0.500 0.000

VASP energy = -4.613 eV per atom
density of states at the Fermi level = 14.11 states/eV/cell
magnetic moment = 0.000 μB per atom
SG = C2/m

***

[9]
Density functional theory data (PBE-GGA) for a relaxed structure of PrSm2ErTm5.

Cell: 9.746 9.746 9.746 Å, 126.68 126.68 78.77°
Sites, in units of the cell vectors:
Pr: 0.250 0.250 0.000
Pr: 0.750 0.750 0.000
Sm: 0.115 0.615 0.731
Sm: 0.385 0.115 0.500
Sm: 0.615 0.885 0.500
Sm: 0.885 0.385 0.269
Er: 0.250 0.750 0.500
Er: 0.750 0.250 0.500
Tm: 0.000 0.000 0.000
Tm: 0.073 0.156 0.500
Tm: 0.156 0.656 0.083
Tm: 0.344 0.427 0.500
Tm: 0.427 0.927 0.083
Tm: 0.500 0.500 0.000
Tm: 0.573 0.073 0.917
Tm: 0.656 0.573 0.500
Tm: 0.844 0.344 0.917
Tm: 0.927 0.844 0.500

VASP energy = -4.300 eV per atom
density of states at the Fermi level = 20.11 states/eV/cell
magnetic moment = 0.000 μB per atom
SG = I4/mcm

***

[10]
Density functional theory data (PBE-GGA) for a relaxed structure of Pr2SmEr2Tm2.

Cell: 6.006 6.006 11.854 Å, 101.38 101.38 33.86°
Sites, in units of the cell vectors:
Pr: 0.093 0.093 0.276
Pr: 0.907 0.907 0.724
Sm: 0.500 0.500 0.000
Er: 0.154 0.154 0.571
Er: 0.846 0.846 0.429
Tm: 0.204 0.204 0.872
Tm: 0.796 0.796 0.128

VASP energy = -4.464 eV per atom
density of states at the Fermi level = 12.24 states/eV/cell
magnetic moment = 0.000 μB per atom
SG = C2/m

***

[11]
Density functional theory data (PBE-GGA) for a relaxed structure of Pr3SmEr6Tm2.

Cell: 6.183 6.183 11.765 Å, 95.02 95.02 119.98°
Sites, in units of the cell vectors:
Pr: 0.000 0.000 0.000
Pr: 0.333 0.667 0.000
Pr: 0.667 0.333 0.000
Sm: 0.500 0.500 0.500
Er: 0.084 0.418 0.254
Er: 0.248 0.248 0.746
Er: 0.418 0.084 0.254
Er: 0.582 0.916 0.746
Er: 0.752 0.752 0.254
Er: 0.916 0.582 0.746
Tm: 0.167 0.833 0.500
Tm: 0.833 0.167 0.500

VASP energy = -4.591 eV per atom
density of states at the Fermi level = 15.68 states/eV/cell
magnetic moment = 0.000 μB per atom
SG = C2/m

***

[12]
Density functional theory data (PBE-GGA) for a relaxed structure of Pr2SmEr4Tm.

Cell: 7.171 9.991 7.178 Å, 90.00 90.19 90.00°
Sites, in units of the cell vectors:
Pr: 0.000 0.000 0.000
Pr: 0.000 0.000 0.500
Pr: 0.000 0.500 0.000
Pr: 0.500 0.000 0.000
Sm: 0.000 0.500 0.500
Sm: 0.500 0.000 0.500
Er: 0.253 0.254 0.251
Er: 0.253 0.254 0.749
Er: 0.253 0.746 0.251
Er: 0.253 0.746 0.749
Er: 0.747 0.254 0.251
Er: 0.747 0.254 0.749
Er: 0.747 0.746 0.251
Er: 0.747 0.746 0.749
Tm: 0.500 0.500 0.000
Tm: 0.500 0.500 0.500

VASP energy = -4.603 eV per atom
density of states at the Fermi level = 20.97 states/eV/cell
magnetic moment = 0.000 μB per atom
SG = P2/m